A plane-wave DFT calculation with PBE was carried out for a relaxed LaNd4Hg crystal.

Cell and atoms, written as POSCAR:
```
LaNd4Hg
1.0
3.7290 0.0000 0.0000
0.0000 3.7290 0.0000
0.0000 0.0000 14.3638
La Nd Hg
1 4 1
direct
0.0000 0.0000 0.0000
0.0000 0.0000 0.3596
0.0000 0.0000 0.6404
0.5000 0.5000 0.1818
0.5000 0.5000 0.8182
0.5000 0.5000 0.5000
```

## Properties
DOS(E_F): 1.401 states/eV/atom
calculated volume: 200 Å³ per cell
ΔE to the lowest computed polymorph: 0.000 eV per formula unit
E_form: -14.4 kJ/mol of atoms